Record 1
AcSbHPd6 PBE optimized geometry; SG = Imma; crystal system = orthorhombic
1.0
8.220 0.000 0.000
0.000 7.335 0.000
-4.110 -3.667 5.487
Ac Sb H Pd
2 2 2 12
direct
0.827 0.577 0.655 Ac
0.173 0.423 0.345 Ac
0.500 0.000 0.500 Sb
0.000 0.000 0.500 Sb
0.500 0.500 0.000 H
0.500 0.000 0.000 H
0.544 0.794 0.089 Pd
0.897 0.147 0.794 Pd
0.815 0.171 0.247 Pd
0.431 0.575 0.247 Pd
0.431 0.171 0.247 Pd
0.815 0.575 0.247 Pd
0.456 0.206 0.911 Pd
0.103 0.853 0.206 Pd
0.185 0.829 0.753 Pd
0.569 0.425 0.753 Pd
0.569 0.829 0.753 Pd
0.185 0.425 0.753 Pd

Record 2
Ac2ScHPd6 PBE optimized geometry; SG = P1; crystal system = triclinic
1.0
6.015 0.026 0.011
-0.006 7.109 0.773
2.997 4.119 5.063
Ac Sc H Pd
2 1 1 6
direct
0.728 0.272 0.543 Ac
0.256 0.744 0.489 Ac
0.996 0.004 0.009 Sc
0.580 0.421 0.840 H
0.269 0.252 0.462 Pd
0.748 0.731 0.983 Pd
0.269 0.731 0.982 Pd
0.721 0.279 0.068 Pd
0.212 0.279 0.067 Pd
0.721 0.788 0.557 Pd

Record 3
AcSiHPd6 PBE optimized geometry; SG = Imma; crystal system = orthorhombic
1.0
7.534 0.000 0.000
0.000 7.679 0.000
-3.767 -3.840 5.520
Ac Si H Pd
2 2 2 12
direct
0.832 0.582 0.664 Ac
0.168 0.418 0.336 Ac
0.500 0.000 0.500 Si
0.000 0.000 0.500 Si
0.500 0.500 0.000 H
0.500 0.000 0.000 H
0.476 0.726 0.952 Pd
0.878 0.128 0.756 Pd
0.823 0.111 0.250 Pd
0.427 0.639 0.250 Pd
0.427 0.111 0.250 Pd
0.823 0.639 0.250 Pd
0.524 0.274 0.048 Pd
0.122 0.872 0.244 Pd
0.177 0.889 0.750 Pd
0.573 0.361 0.750 Pd
0.573 0.889 0.750 Pd
0.177 0.361 0.750 Pd

Record 4
Ac2SiHPd6 PBE optimized geometry; SG = C2/m; crystal system = monoclinic
1.0
-3.238 5.948 1.257
-5.235 -2.615 -1.111
-4.195 -0.181 4.224
Ac Si H Pd
2 1 1 6
direct
0.693 0.231 0.539 Ac
0.307 0.769 0.461 Ac
0.500 0.500 0.000 Si
0.000 0.000 0.000 H
0.193 0.231 0.537 Pd
0.805 0.768 0.964 Pd
0.195 0.732 0.036 Pd
0.805 0.268 0.964 Pd
0.195 0.232 0.036 Pd
0.807 0.769 0.463 Pd

The records above yield raw total energy values of -5.10, -5.61, -5.34, -5.53 eV per atom, respectively.